# 1
# Ca4Ho3ScSe8 (GGA-PBE, relaxed)
# * E_tot: -85.39 eV per formula unit
data_Ca4Ho3ScSe8
_space_group_name_H-M_alt 'R -3 m'
_space_group_IT_number 166
_space_group_name_Hall '-R 3 2"'
_cell_length_a 8.1452
_cell_length_b 8.1452
_cell_length_c 20.3478
_cell_angle_alpha 90.00
_cell_angle_beta 90.00
_cell_angle_gamma 120.00
loop_
_atom_site_label
_atom_site_type_symbol
_atom_site_fract_x
_atom_site_fract_y
_atom_site_fract_z
_atom_site_occupancy
Ca1 Ca 0.0000 0.0000 0.0000 1
Ca2 Ca 0.0000 0.5000 0.0000 1
Ho1 Ho 0.0000 0.5000 0.5000 1
Sc1 Sc 0.0000 0.0000 0.5000 1
Se1 Se 0.0000 0.0000 0.2481 1
Se2 Se 0.0057 0.5028 0.2467 1

***

# 2
# Ta2ZnW (GGA-PBE, relaxed)
# * energy of formation from the pure elements: 0.021 eV per atom
data_Ta2ZnW
_space_group_name_H-M_alt 'C m m m'
_space_group_IT_number 65
_space_group_name_Hall '-C 2 2'
_cell_length_a 3.289
_cell_length_b 4.475
_cell_length_c 9.161
_cell_angle_alpha 90.00
_cell_angle_beta 90.00
_cell_angle_gamma 90.00
loop_
_atom_site_label
_atom_site_type_symbol
_atom_site_fract_x
_atom_site_fract_y
_atom_site_fract_z
_atom_site_occupancy
Ta1 Ta 0.000 0.000 0.249 1
Zn1 Zn 0.000 0.500 0.000 1
W1 W 0.000 0.500 0.500 1

***

# 3
# Sr2ErReO6 (GGA-PBE, relaxed)
# * ΔE to the lowest computed polymorph: 0.00 eV per formula unit
data_Sr2ErReO6
_space_group_name_H-M_alt 'F m -3 m'
_space_group_IT_number 225
_space_group_name_Hall '-F 4 2 3'
_cell_length_a 8.306
_cell_length_b 8.306
_cell_length_c 8.306
_cell_angle_alpha 90.00
_cell_angle_beta 90.00
_cell_angle_gamma 90.00
loop_
_atom_site_label
_atom_site_type_symbol
_atom_site_fract_x
_atom_site_fract_y
_atom_site_fract_z
_atom_site_occupancy
Sr1 Sr 0.250 0.250 0.250 1
Er1 Er 0.000 0.000 0.000 1
Re1 Re 0.000 0.000 0.500 1
O1 O 0.000 0.000 0.263 1

***

no.,size of the total moment (Bohr magnetons per cell),D(E_F) (states/eV/f.u.)
1,0.00,5.54
2,0.00,3.08
3,7.74,4.08